Entry 1:
ZnGe2PbO6: relaxed, PBE.

Results
calculated volume	307.22	Å³ per cell
density of states at the Fermi level	0.000	states/eV/cell
formation energy (no corrections)	-1.482	eV per atom

Lattice parameters (Å, degrees): 5.846 7.488 7.488 90.51 75.78 75.78
Fractional positions:
O (0.201, 0.967, 0.779)
O (0.422, 0.827, 0.387)
O (0.701, 0.779, 0.967)
O (0.557, 0.612, 0.682)
O (0.578, 0.173, 0.613)
O (0.078, 0.613, 0.173)
O (0.943, 0.318, 0.388)
O (0.443, 0.388, 0.318)
O (0.799, 0.033, 0.221)
O (0.057, 0.682, 0.612)
O (0.922, 0.387, 0.827)
O (0.299, 0.221, 0.033)
Ge (0.185, 0.385, 0.227)
Ge (0.315, 0.773, 0.615)
Ge (0.815, 0.615, 0.773)
Ge (0.685, 0.227, 0.385)
Pb (0.250, 0.885, 0.115)
Pb (0.750, 0.115, 0.885)
Zn (0.750, 0.767, 0.233)
Zn (0.250, 0.233, 0.767)

Entry 2:
ZnGePbO4: relaxed, PBE.

Results
calculated volume	207.36	Å³ per cell
density of states at the Fermi level	0.000	states/eV/cell
formation energy (no corrections)	-1.347	eV per atom

Lattice parameters (Å, degrees): 5.450 5.865 6.722 90.00 105.18 90.00
Fractional positions:
Pb (0.736, 0.750, 0.982)
Pb (0.264, 0.250, 0.018)
Ge (0.726, 0.250, 0.673)
Ge (0.274, 0.750, 0.327)
O (0.482, 0.250, 0.446)
O (0.518, 0.750, 0.554)
O (0.973, 0.467, 0.698)
O (0.027, 0.967, 0.302)
O (0.027, 0.533, 0.302)
O (0.373, 0.750, 0.096)
O (0.973, 0.033, 0.698)
O (0.627, 0.250, 0.904)
Zn (0.130, 0.250, 0.479)
Zn (0.870, 0.750, 0.521)

Entry 3:
ZrGePb2O6: relaxed, PBE.

Results
calculated volume	143.32	Å³ per cell
density of states at the Fermi level	0.000	states/eV/cell
formation energy (no corrections)	-1.910	eV per atom

Lattice parameters (Å, degrees): 4.752 5.492 5.492 90.00 90.00 90.00
Fractional positions:
O (0.698, 0.237, 0.237)
O (0.698, 0.763, 0.237)
O (0.174, 0.500, 0.500)
O (0.698, 0.237, 0.763)
O (0.218, 0.000, 0.000)
O (0.698, 0.763, 0.763)
Pb (0.044, 0.000, 0.500)
Pb (0.044, 0.500, 0.000)
Zr (0.586, 0.500, 0.500)
Ge (0.588, 0.000, 0.000)

Entry 4:
Ge2PdO2: relaxed, PBE.

Results
excess energy over the best structure of this formula in the dataset	0.0	meV per atom
calculated volume	153.37	Å³ per cell
density of states at the Fermi level	0.442	states/eV/cell
formation energy (no corrections)	-0.551	eV per atom

Lattice parameters (Å, degrees): 7.180 7.180 2.975 90.00 90.00 90.00
Fractional positions:
Pd (0.500, 0.500, 0.000)
Pd (0.000, 0.000, 0.000)
Ge (0.750, 0.250, 0.500)
Ge (0.750, 0.750, 0.500)
Ge (0.250, 0.750, 0.500)
Ge (0.250, 0.250, 0.500)
O (0.362, 0.862, 0.000)
O (0.138, 0.362, 0.000)
O (0.638, 0.138, 0.000)
O (0.862, 0.638, 0.000)

Entry 5:
Ge3PdO: relaxed, PBE.

Results
excess energy over the best structure of this formula in the dataset	625.2	meV per atom
calculated volume	110.36	Å³ per cell
density of states at the Fermi level	4.179	states/eV/cell
formation energy (no corrections)	0.581	eV per atom

Lattice parameters (Å, degrees): 4.797 4.797 4.797 90.00 90.00 90.00
Fractional positions:
Pd (0.000, 0.000, 0.000)
O (0.500, 0.500, 0.500)
Ge (0.000, 0.500, 0.000)
Ge (0.500, 0.000, 0.000)
Ge (0.000, 0.000, 0.500)

Entry 6:
Ge3PdO: relaxed, PBE.

Results
excess energy over the best structure of this formula in the dataset	0.0	meV per atom
calculated volume	84.09	Å³ per cell
density of states at the Fermi level	3.271	states/eV/cell
formation energy (no corrections)	-0.044	eV per atom

Lattice parameters (Å, degrees): 4.381 4.381 4.381 90.00 90.00 90.00
Fractional positions:
Ge (0.500, 0.000, 0.000)
Ge (0.000, 0.000, 0.500)
Ge (0.000, 0.500, 0.000)
Pd (0.500, 0.500, 0.500)
O (0.000, 0.000, 0.000)

Entry 7:
Ge2PdO2: relaxed, PBE.

Results
excess energy over the best structure of this formula in the dataset	120.8	meV per atom
calculated volume	77.29	Å³ per cell
density of states at the Fermi level	0.635	states/eV/cell
formation energy (no corrections)	-0.430	eV per atom

Lattice parameters (Å, degrees): 4.513 4.513 4.958 62.92 62.92 90.00
Fractional positions:
Ge (0.250, 0.750, 0.500)
Ge (0.750, 0.250, 0.500)
Pd (0.000, 0.000, 0.000)
O (0.724, 0.724, 0.553)
O (0.276, 0.276, 0.447)

Entry 8:
GePd4O: relaxed, PBE.

Results
calculated volume	176.03	Å³ per cell
density of states at the Fermi level	6.728	states/eV/cell
formation energy (no corrections)	-0.137	eV per atom

Lattice parameters (Å, degrees): 5.415 5.515 6.989 111.64 111.17 93.81
Fractional positions:
Pd (0.612, 0.417, 0.169)
Pd (0.058, 0.752, 0.169)
Pd (0.942, 0.248, 0.831)
Pd (0.847, 0.668, 0.660)
Pd (0.153, 0.332, 0.340)
Pd (0.388, 0.583, 0.831)
Pd (0.686, 0.008, 0.340)
Pd (0.314, 0.992, 0.660)
O (0.549, 0.299, 0.599)
O (0.451, 0.701, 0.401)
Ge (0.746, 0.996, 0.992)
Ge (0.254, 0.004, 0.008)

Entry 9:
Pm2GePdO6: relaxed, PBE.

Results
calculated volume	138.46	Å³ per cell
density of states at the Fermi level	1.428	states/eV/cell
formation energy (no corrections)	-2.069	eV per atom

Lattice parameters (Å, degrees): 4.739 5.405 5.405 90.00 90.00 90.00
Fractional positions:
Pm (0.015, 0.000, 0.500)
Pm (0.015, 0.500, 0.000)
Pd (0.618, 0.500, 0.500)
O (0.717, 0.230, 0.230)
O (0.131, 0.500, 0.500)
O (0.717, 0.770, 0.770)
O (0.717, 0.770, 0.230)
O (0.212, 0.000, 0.000)
O (0.717, 0.230, 0.770)
Ge (0.588, 0.000, 0.000)

Entry 10:
PuGePdO6: relaxed, PBE.

Results
calculated volume	219.36	Å³ per cell
density of states at the Fermi level	11.013	states/eV/cell
formation energy (no corrections)	-1.504	eV per atom

Lattice parameters (Å, degrees): 5.280 5.280 9.086 90.00 90.00 120.00
Last column: magnetic moment on the atom in μB.
Fractional positions:
O (0.663, 0.023, 0.867)  -0.02
O (0.640, 0.663, 0.133)  -0.02
O (0.023, 0.663, 0.367)  -0.02
O (0.360, 0.337, 0.867)  -0.02
O (0.360, 0.023, 0.633)  -0.02
O (0.663, 0.640, 0.633)  -0.02
O (0.023, 0.360, 0.133)  -0.02
O (0.977, 0.337, 0.633)  -0.02
O (0.640, 0.977, 0.367)  -0.02
O (0.337, 0.360, 0.367)  -0.02
O (0.977, 0.640, 0.867)  -0.02
O (0.337, 0.977, 0.133)  -0.02
Pu (0.333, 0.667, 0.750)  3.03
Pu (0.667, 0.333, 0.250)  3.03
Ge (0.333, 0.667, 0.250)  0.04
Ge (0.667, 0.333, 0.750)  0.04
Pd (0.000, 0.000, 0.500)  0.93
Pd (0.000, 0.000, 0.000)  0.93

Entry 11:
Rb2GePdO4: relaxed, PBE.

Results
calculated volume	380.48	Å³ per cell
density of states at the Fermi level	0.000	states/eV/cell
formation energy (no corrections)	-1.210	eV per atom

Lattice parameters (Å, degrees): 5.812 7.369 10.094 83.48 73.27 66.78
Fractional positions:
Ge (0.250, 0.500, 0.500)
Ge (0.500, 0.000, 0.000)
O (0.621, 0.185, 0.024)
O (0.395, 0.685, 0.476)
O (0.920, 0.685, 0.524)
O (0.830, 0.815, 0.976)
O (0.556, 0.315, 0.524)
O (0.129, 0.315, 0.476)
O (0.194, 0.185, 0.976)
O (0.355, 0.815, 0.024)
Rb (0.826, 0.000, 0.349)
Rb (0.174, 0.000, 0.651)
Rb (0.924, 0.500, 0.151)
Rb (0.576, 0.500, 0.849)
Pd (0.750, 0.500, 0.500)
Pd (0.000, 0.000, 0.000)

Entry 12:
GePdRhO6: relaxed, PBE.

Results
calculated volume	190.93	Å³ per cell
density of states at the Fermi level	6.756	states/eV/cell
formation energy (no corrections)	-0.838	eV per atom

Lattice parameters (Å, degrees): 4.542 4.542 9.255 90.00 90.00 90.00
Last column: magnetic moment on the atom in μB.
Fractional positions:
Pd (0.000, 0.000, 0.666)  0.05
Pd (0.500, 0.500, 0.166)  0.05
O (0.308, 0.308, 0.993)  0.08
O (0.701, 0.701, 0.335)  0.07
O (0.688, 0.688, 0.672)  0.06
O (0.799, 0.201, 0.835)  0.07
O (0.812, 0.188, 0.172)  0.06
O (0.188, 0.812, 0.172)  0.06
O (0.299, 0.299, 0.335)  0.07
O (0.808, 0.192, 0.493)  0.08
O (0.201, 0.799, 0.835)  0.07
O (0.692, 0.692, 0.993)  0.08
O (0.312, 0.312, 0.672)  0.06
O (0.192, 0.808, 0.493)  0.08
Rh (0.500, 0.500, 0.501)  0.46
Rh (0.000, 0.000, 0.001)  0.46
Ge (0.000, 0.000, 0.333)  -0.01
Ge (0.500, 0.500, 0.833)  -0.01

Entry 13:
GeSbPdO6: relaxed, PBE.

Results
calculated volume	203.36	Å³ per cell
density of states at the Fermi level	3.826	states/eV/cell
formation energy (no corrections)	-1.056	eV per atom

Lattice parameters (Å, degrees): 5.135 5.135 8.905 90.00 90.00 120.00
Last column: magnetic moment on the atom in μB.
Fractional positions:
O (0.348, 0.987, 0.632)  0.05
O (0.987, 0.348, 0.132)  0.05
O (0.639, 0.652, 0.632)  0.05
O (0.987, 0.639, 0.368)  0.05
O (0.013, 0.361, 0.632)  0.05
O (0.348, 0.361, 0.868)  0.05
O (0.652, 0.639, 0.132)  0.05
O (0.639, 0.987, 0.868)  0.05
O (0.361, 0.013, 0.132)  0.05
O (0.013, 0.652, 0.868)  0.05
O (0.361, 0.348, 0.368)  0.05
O (0.652, 0.013, 0.368)  0.05
Ge (0.667, 0.333, 0.250)  0.02
Ge (0.333, 0.667, 0.750)  0.02
Sb (0.667, 0.333, 0.750)  0.01
Sb (0.333, 0.667, 0.250)  0.01
Pd (0.000, 0.000, 0.500)  0.63
Pd (0.000, 0.000, 0.000)  0.63

Entry 14:
GePdSeO2: relaxed, PBE.

Results
calculated volume	74.30	Å³ per cell
density of states at the Fermi level	0.959	states/eV/cell
formation energy (no corrections)	-0.052	eV per atom

Lattice parameters (Å, degrees): 3.837 5.046 3.837 90.00 90.00 90.00
Fractional positions:
Ge (0.500, 0.500, 0.500)
O (0.500, 0.000, 0.000)
O (0.000, 0.000, 0.500)
Pd (0.000, 0.500, 0.000)
Se (0.000, 0.000, 0.000)

Entry 15:
Sr2GePdO6: relaxed, PBE.

Results
calculated volume	245.88	Å³ per cell
density of states at the Fermi level	14.800	states/eV/cell
formation energy (no corrections)	-1.717	eV per atom

Lattice parameters (Å, degrees): 5.581 5.581 7.894 90.00 90.00 90.00
Fractional positions:
Ge (0.500, 0.250, 0.500)
Ge (0.000, 0.750, 0.000)
Sr (0.000, 0.250, 0.250)
Sr (0.500, 0.750, 0.750)
Sr (0.500, 0.750, 0.250)
Sr (0.000, 0.250, 0.750)
O (0.242, 0.992, 0.000)
O (0.742, 0.008, 0.500)
O (0.258, 0.492, 0.500)
O (0.758, 0.508, 0.000)
O (0.500, 0.250, 0.258)
O (0.242, 0.508, 0.000)
O (0.258, 0.008, 0.500)
O (0.758, 0.992, 0.000)
O (0.500, 0.250, 0.742)
O (0.000, 0.750, 0.242)
O (0.742, 0.492, 0.500)
O (0.000, 0.750, 0.758)
Pd (0.000, 0.750, 0.500)
Pd (0.500, 0.250, 0.000)

Entry 16:
SrGe2PdO6: relaxed, PBE.

Results
calculated volume	311.65	Å³ per cell
density of states at the Fermi level	3.142	states/eV/cell
formation energy (no corrections)	-1.587	eV per atom

Lattice parameters (Å, degrees): 5.818 7.615 7.615 84.41 73.99 73.99
Fractional positions:
Ge (0.349, 0.789, 0.628)
Ge (0.651, 0.211, 0.372)
Ge (0.151, 0.372, 0.211)
Ge (0.849, 0.628, 0.789)
O (0.698, 0.786, 0.962)
O (0.331, 0.323, 0.379)
O (0.609, 0.151, 0.607)
O (0.831, 0.379, 0.323)
O (0.802, 0.038, 0.214)
O (0.109, 0.607, 0.151)
O (0.391, 0.849, 0.393)
O (0.669, 0.677, 0.621)
O (0.169, 0.621, 0.677)
O (0.891, 0.393, 0.849)
O (0.302, 0.214, 0.038)
O (0.198, 0.962, 0.786)
Pd (0.750, 0.729, 0.271)
Pd (0.250, 0.271, 0.729)
Sr (0.250, 0.885, 0.115)
Sr (0.750, 0.115, 0.885)

Entry 17:
ThGePdO: relaxed, PBE.

Results
calculated volume	141.94	Å³ per cell
density of states at the Fermi level	3.512	states/eV/cell
formation energy (no corrections)	-1.864	eV per atom

Lattice parameters (Å, degrees): 4.178 4.178 8.130 90.00 90.00 90.00
Fractional positions:
Th (0.500, 0.000, 0.653)
Th (0.000, 0.500, 0.347)
O (0.500, 0.500, 0.500)
O (0.000, 0.000, 0.500)
Pd (0.000, 0.000, 0.000)
Pd (0.500, 0.500, 0.000)
Ge (0.500, 0.000, 0.171)
Ge (0.000, 0.500, 0.829)

Entry 18:
TlGe2PdO6: relaxed, PBE.

Results
calculated volume	283.73	Å³ per cell
density of states at the Fermi level	9.855	states/eV/cell
formation energy (no corrections)	-1.034	eV per atom

Lattice parameters (Å, degrees): 5.769 7.227 7.227 85.90 76.02 76.02
Last column: magnetic moment on the atom in μB.
Fractional positions:
Tl (0.250, 0.889, 0.111)  0.00
Tl (0.750, 0.111, 0.889)  0.00
O (0.378, 0.870, 0.390)  0.04
O (0.657, 0.801, 0.953)  0.04
O (0.157, 0.953, 0.801)  0.04
O (0.122, 0.610, 0.130)  0.04
O (0.878, 0.390, 0.870)  0.04
O (0.485, 0.401, 0.322)  0.02
O (0.843, 0.047, 0.199)  0.04
O (0.985, 0.322, 0.401)  0.02
O (0.343, 0.199, 0.047)  0.04
O (0.515, 0.599, 0.678)  0.02
O (0.622, 0.130, 0.610)  0.04
O (0.015, 0.678, 0.599)  0.02
Pd (0.250, 0.272, 0.728)  0.80
Pd (0.750, 0.728, 0.272)  0.80
Ge (0.265, 0.777, 0.618)  0.00
Ge (0.735, 0.223, 0.382)  0.00
Ge (0.235, 0.382, 0.223)  0.00
Ge (0.765, 0.618, 0.777)  0.00

Entry 19:
Tl2Ge2PdO6: relaxed, PBE.

Results
calculated volume	170.96	Å³ per cell
density of states at the Fermi level	0.761	states/eV/cell
formation energy (no corrections)	-0.845	eV per atom

Lattice parameters (Å, degrees): 5.889 5.889 6.631 63.64 63.64 60.00
Fractional positions:
Ge (0.579, 0.579, 0.263)
Ge (0.421, 0.421, 0.737)
Pd (0.000, 0.000, 0.000)
O (0.754, 0.236, 0.773)
O (0.236, 0.754, 0.773)
O (0.764, 0.764, 0.227)
O (0.236, 0.236, 0.773)
O (0.246, 0.764, 0.227)
O (0.764, 0.246, 0.227)
Tl (0.214, 0.214, 0.359)
Tl (0.786, 0.786, 0.641)